Entry 1:
Er4PdRu2 | PBE | relaxed

The calculated formation energy comes out at -0.4616 eV per atom. For the energy above the most stable polymorph in this dataset, the calculation gives 60 meV/atom. The total energy is -6.46 eV per atom.

The structure belongs to space group I-42d (No. 122); the cell edges are 8.5531, 8.5531 and 8.4727 Å and the angles 90.00°, 90.00° and 90.00°. The distinct sites, in fractional coordinates, are Er at (0.0678, 0.1819, 0.3185), Pd at (0.0000, 0.0000, 0.0000) and Ru at (0.1483, 0.2500, 0.6250).



Entry 2:
Er2PdRu | PBE | relaxed

The calculated formation energy comes out at -0.7357 eV per atom. The total energy is -6.63 eV per atom.

The structure belongs to space group P4/mmm (No. 123); the cell edges are 3.4236, 3.4236 and 6.8354 Å and the angles 90.00°, 90.00° and 90.00°. The distinct sites, in fractional coordinates, are Er at (0.0000, 0.0000, 0.2403), Pd at (0.5000, 0.5000, 0.5000) and Ru at (0.5000, 0.5000, 0.0000).



Entry 3:
Er2PdRu | PBE | relaxed

The calculated formation energy comes out at -0.6992 eV per atom. The total energy is -6.60 eV per atom.

The structure belongs to space group Fm-3m (No. 225); the cell edges are 6.8333, 6.8333 and 6.8333 Å and the angles 90.00°, 90.00° and 90.00°. The distinct sites, in fractional coordinates, are Er at (0.2500, 0.2500, 0.2500), Pd at (0.0000, 0.0000, 0.0000) and Ru at (0.0000, 0.0000, 0.5000).



Entry 4:
Er8PdRu2 | PBE | relaxed

The calculated formation energy comes out at -0.3249 eV per atom. For the energy above the most stable polymorph in this dataset, the calculation gives 40 meV/atom. The total energy is -5.80 eV per atom.

The structure belongs to space group Cm (No. 8); the cell edges are 8.3687, 12.4780 and 5.7664 Å and the angles 90.00°, 107.91° and 90.00°. The distinct sites, in fractional coordinates, are Er at (0.0000, 0.0000, 0.0000), Er at (0.0789, 0.3689, 0.7854), Er at (0.1668, 0.1308, 0.5949), Er at (0.2388, 0.5000, 0.3819), Er at (0.3704, 0.2220, 0.1922), Pd at (0.3693, 0.0000, 0.3207) and Ru at (0.3738, 0.3107, 0.6928).



Entry 5:
Er8PdRu2 | PBE | relaxed

The calculated formation energy comes out at -0.3650 eV per atom. For the energy above the most stable polymorph in this dataset, the calculation gives 0 meV/atom. The total energy is -5.84 eV per atom.

The structure belongs to space group C2/m (No. 12); the cell edges are 17.3481, 4.8107 and 6.8645 Å and the angles 90.00°, 107.57° and 90.00°. The distinct sites, in fractional coordinates, are Er at (0.0327, 0.0000, 0.2833), Er at (0.0972, 0.5000, 0.9634), Er at (0.1706, 0.5000, 0.4651), Er at (0.2040, 0.0000, 0.8156), Pd at (0.0000, 0.5000, 0.5000) and Ru at (0.1857, 0.0000, 0.2033).



Entry 6:
Er4PdRu2 | PBE | relaxed

The calculated formation energy comes out at -0.5215 eV per atom. For the energy above the most stable polymorph in this dataset, the calculation gives 0 meV/atom. The total energy is -6.52 eV per atom.

The structure belongs to space group P4/mmm (No. 123); the cell edges are 4.7775, 4.7775 and 6.8115 Å and the angles 90.00°, 90.00° and 90.00°. The distinct sites, in fractional coordinates, are Er at (0.0000, 0.5000, 0.2471), Pd at (0.0000, 0.0000, 0.5000), Ru at (0.0000, 0.0000, 0.0000) and Ru at (0.5000, 0.5000, 0.5000).



Entry 7:
Er12Pd6Ru | PBE | relaxed

The calculated formation energy comes out at -0.5423 eV per atom. The total energy is -5.55 eV per atom.

The structure belongs to space group R-3 (No. 148, hexagonal axes); the cell edges are 12.4290, 12.4290 and 11.5809 Å and the angles 90.00°, 90.00° and 120.00°. The distinct sites, in fractional coordinates, are Er at (0.0268, 0.2111, 0.3903), Er at (0.0403, 0.1991, 0.8796), Pd at (0.0426, 0.2658, 0.6428) and Ru at (0.0000, 0.0000, 0.0000).



Entry 8:
Er6Pd5Ru | PBE | relaxed

The calculated formation energy comes out at -0.8560 eV per atom. The total energy is -6.07 eV per atom.

The structure belongs to space group P2/m (No. 10); the cell edges are 4.9168, 6.8604 and 7.7478 Å and the angles 90.00°, 108.27° and 90.00°. The distinct sites, in fractional coordinates, are Er at (0.0000, 0.2441, 0.0000), Er at (0.3370, 0.2467, 0.6736), Pd at (0.1675, 0.5000, 0.3357), Pd at (0.1676, 0.0000, 0.3346), Pd at (0.5000, 0.5000, 0.0000) and Ru at (0.5000, 0.0000, 0.0000).